# 1
# ZnTe2Cl, optimized geometry, DFT PBE
# Relative energy among the computed polymorphs = 0.0 meV per atom
# Calculated total energy = -10.68 eV for the cell shown
# Formation energy from raw total energies = -123 kJ/mol of formula units
# SG = P2/m (10)
data_ZnTe2Cl
_chemical_formula_sum 'Zn1 Te2 Cl1'
_space_group_name_H-M_alt 'P 1'
_space_group_IT_number 1
_cell_length_a 5.143
_cell_length_b 4.197
_cell_length_c 5.574
_cell_angle_alpha 90.00
_cell_angle_beta 106.12
_cell_angle_gamma 90.00
loop_
_space_group_symop_operation_xyz
'x,y,z'
loop_
_atom_site_label
_atom_site_type_symbol
_atom_site_fract_x
_atom_site_fract_y
_atom_site_fract_z
Zn1 Zn 0.000 0.000 0.000
Te1 Te 0.168 0.500 0.351
Te2 Te 0.832 0.500 0.649
Cl1 Cl 0.500 0.000 0.000

---

# 2
# ZnTe2Cl, optimized geometry, DFT PBE
# Relative energy among the computed polymorphs = 385.3 meV per atom
# Calculated total energy = -9.14 eV for the cell shown
# Formation energy from raw total energies = 26 kJ/mol of formula units
# SG = Pmmm (47)
data_ZnTe2Cl
_chemical_formula_sum 'Zn1 Te2 Cl1'
_space_group_name_H-M_alt 'P 1'
_space_group_IT_number 1
_cell_length_a 3.183
_cell_length_b 5.251
_cell_length_c 6.808
_cell_angle_alpha 90.00
_cell_angle_beta 90.00
_cell_angle_gamma 90.00
loop_
_space_group_symop_operation_xyz
'x,y,z'
loop_
_atom_site_label
_atom_site_type_symbol
_atom_site_fract_x
_atom_site_fract_y
_atom_site_fract_z
Zn1 Zn 0.000 0.000 0.000
Te1 Te 0.000 0.500 0.000
Te2 Te 0.500 0.000 0.500
Cl1 Cl 0.500 0.500 0.500

---

# 3
# ZnTeCl, optimized geometry, DFT PBE
# Calculated total energy = -7.37 eV for the cell shown
# Formation energy from raw total energies = -107 kJ/mol of formula units
# SG = Fmm2 (42)
data_ZnTeCl
_chemical_formula_sum 'Zn1 Te1 Cl1'
_space_group_name_H-M_alt 'P 1'
_space_group_IT_number 1
_cell_length_a 8.371
_cell_length_b 7.911
_cell_length_c 3.689
_cell_angle_alpha 83.98
_cell_angle_beta 70.03
_cell_angle_gamma 25.99
loop_
_space_group_symop_operation_xyz
'x,y,z'
loop_
_atom_site_label
_atom_site_type_symbol
_atom_site_fract_x
_atom_site_fract_y
_atom_site_fract_z
Zn1 Zn 0.000 0.000 0.000
Te1 Te 0.635 0.635 0.365
Cl1 Cl 0.397 0.397 0.603

---

# 4
# Zn2TeCl, optimized geometry, DFT PBE
# Relative energy among the computed polymorphs = 47.2 meV per atom
# Calculated total energy = -8.75 eV for the cell shown
# Formation energy from raw total energies = -117 kJ/mol of formula units
# SG = R-3m (166)
data_Zn2TeCl
_chemical_formula_sum 'Zn2 Te1 Cl1'
_space_group_name_H-M_alt 'P 1'
_space_group_IT_number 1
_cell_length_a 6.747
_cell_length_b 6.747
_cell_length_c 6.747
_cell_angle_alpha 35.73
_cell_angle_beta 35.73
_cell_angle_gamma 35.73
loop_
_space_group_symop_operation_xyz
'x,y,z'
loop_
_atom_site_label
_atom_site_type_symbol
_atom_site_fract_x
_atom_site_fract_y
_atom_site_fract_z
Zn1 Zn 0.243 0.243 0.243
Zn2 Zn 0.757 0.757 0.757
Te1 Te 0.500 0.500 0.500
Cl1 Cl 0.000 0.000 0.000

---

# 5
# ZnTe2Cl, optimized geometry, DFT PBE
# Relative energy among the computed polymorphs = 315.5 meV per atom
# Calculated total energy = -9.41 eV for the cell shown
# Formation energy from raw total energies = -1 kJ/mol of formula units
# SG = P4mm (99)
data_ZnTe2Cl
_chemical_formula_sum 'Zn1 Te2 Cl1'
_space_group_name_H-M_alt 'P 1'
_space_group_IT_number 1
_cell_length_a 3.430
_cell_length_b 3.430
_cell_length_c 8.956
_cell_angle_alpha 90.00
_cell_angle_beta 90.00
_cell_angle_gamma 90.00
loop_
_space_group_symop_operation_xyz
'x,y,z'
loop_
_atom_site_label
_atom_site_type_symbol
_atom_site_fract_x
_atom_site_fract_y
_atom_site_fract_z
Zn1 Zn 0.000 0.000 0.000
Te1 Te 0.000 0.000 0.540
Te2 Te 0.500 0.500 0.773
Cl1 Cl 0.500 0.500 0.145

---

# 6
# Zn2TeCl, optimized geometry, DFT PBE
# Relative energy among the computed polymorphs = 174.2 meV per atom
# Calculated total energy = -8.24 eV for the cell shown
# Formation energy from raw total energies = -68 kJ/mol of formula units
# SG = Imm2 (44)
data_Zn2TeCl
_chemical_formula_sum 'Zn2 Te1 Cl1'
_space_group_name_H-M_alt 'P 1'
_space_group_IT_number 1
_cell_length_a 6.116
_cell_length_b 6.116
_cell_length_c 6.116
_cell_angle_alpha 150.32
_cell_angle_beta 110.34
_cell_angle_gamma 77.50
loop_
_space_group_symop_operation_xyz
'x,y,z'
loop_
_atom_site_label
_atom_site_type_symbol
_atom_site_fract_x
_atom_site_fract_y
_atom_site_fract_z
Zn1 Zn 0.000 0.000 0.000
Zn2 Zn 0.781 0.281 0.500
Te1 Te 0.536 0.536 0.000
Cl1 Cl 0.186 0.686 0.500

---

# 7
# ZnTe2Cl, optimized geometry, DFT PBE
# Relative energy among the computed polymorphs = 160.5 meV per atom
# Calculated total energy = -10.03 eV for the cell shown
# Formation energy from raw total energies = -61 kJ/mol of formula units
# SG = Imm2 (44)
data_ZnTe2Cl
_chemical_formula_sum 'Zn1 Te2 Cl1'
_space_group_name_H-M_alt 'P 1'
_space_group_IT_number 1
_cell_length_a 6.240
_cell_length_b 6.240
_cell_length_c 6.240
_cell_angle_alpha 145.85
_cell_angle_beta 103.77
_cell_angle_gamma 86.24
loop_
_space_group_symop_operation_xyz
'x,y,z'
loop_
_atom_site_label
_atom_site_type_symbol
_atom_site_fract_x
_atom_site_fract_y
_atom_site_fract_z
Zn1 Zn 0.000 0.000 0.000
Te1 Te 0.531 0.531 0.000
Te2 Te 0.772 0.272 0.500
Cl1 Cl 0.163 0.663 0.500

---

# 8
# Zn2TeCl, optimized geometry, DFT PBE
# Relative energy among the computed polymorphs = 233.0 meV per atom
# Calculated total energy = -8.01 eV for the cell shown
# Formation energy from raw total energies = -46 kJ/mol of formula units
# SG = I-4m2 (119)
data_Zn2TeCl
_chemical_formula_sum 'Zn2 Te1 Cl1'
_space_group_name_H-M_alt 'P 1'
_space_group_IT_number 1
_cell_length_a 7.784
_cell_length_b 7.784
_cell_length_c 7.784
_cell_angle_alpha 151.57
_cell_angle_beta 151.57
_cell_angle_gamma 40.64
loop_
_space_group_symop_operation_xyz
'x,y,z'
loop_
_atom_site_label
_atom_site_type_symbol
_atom_site_fract_x
_atom_site_fract_y
_atom_site_fract_z
Zn1 Zn 0.000 0.000 0.000
Zn2 Zn 0.750 0.250 0.500
Te1 Te 0.500 0.500 0.000
Cl1 Cl 0.250 0.750 0.500

---

> Which value of calculated total energy does entry 6 give?

-8.24 eV for the cell shown

---

> Among the records above, which one has the highest formation energy from raw total energies?

number 2

---

> Which of these has the highest calculated total energy?

ZnTeCl

---

> Which value of calculated total energy does entry 1 give?

-10.68 eV for the cell shown